1.
A geometry-optimized CsCuAs2 structure. Source: Alexandria via LeMat-Bulk, functional PBE.

magnetization	0.000	μB/atom
Fermi-level density of states	0.421	states/eV/atom
crystal system	trigonal
E	-3.643	eV per atom
energy above the most stable polymorph in this dataset	0	meV per atom
formation energy	-0.0806	eV per atom
symmetry	R-3m (166)

Cell: 4.4642 4.4642 19.9512 Å, 90.00 90.00 120.00°
Closest atoms and distances in Å follow each position.
Fractional coordinates of all 12 atoms:
Cs1 0.0000 0.0000 0.0000  8 As 3.82-3.83, 6 Cu 4.21
Cs2 0.3333 0.6667 0.6667  8 As 3.82-3.83, 6 Cu 4.21
Cs3 0.6667 0.3333 0.3333  8 As 3.82-3.83, 6 Cu 4.21
Cu1 0.0000 0.0000 0.5000  6 As 2.62
Cu2 0.3333 0.6667 0.1667  6 As 2.62
Cu3 0.6667 0.3333 0.8333  6 As 2.62
As1 0.0000 0.0000 0.1916  3 Cu 2.62, 3 As 2.76
As2 0.0000 0.0000 0.8084  3 Cu 2.62, 3 As 2.76
As3 0.3333 0.6667 0.4751  3 Cu 2.62, 3 As 2.76
As4 0.3333 0.6667 0.8583  3 Cu 2.62, 3 As 2.76
As5 0.6667 0.3333 0.1417  3 Cu 2.62, 3 As 2.76
As6 0.6667 0.3333 0.5249  3 Cu 2.62, 3 As 2.76

=====

2.
A geometry-optimized ZnAsOF2 structure. Source: Alexandria via LeMat-Bulk, functional PBE.

magnetization	0.185	μB/atom
raw formation energy	-0.929	eV/atom
Fermi-level density of states	0.303	states/eV/atom
crystal system	tetragonal
E	-3.854	eV per atom
energy above the most stable polymorph in this dataset	58	meV per atom
symmetry	P4/mmm (123)

Cell: 3.8709 3.8709 4.3498 Å, 90.00 90.00 90.00°
Closest atoms and distances in Å follow each position.
Fractional coordinates of all 5 atoms:
Zn1 0.0000 0.0000 0.0000  4 F 1.94
As1 0.5000 0.5000 0.5000  4 O 2.74, 8 F 2.91
O1 0.0000 0.0000 0.5000  2 Zn 2.17
F1 0.0000 0.5000 0.0000  2 Zn 1.94
F2 0.5000 0.0000 0.0000  2 Zn 1.94

=====

3.
A geometry-optimized Nb2CuPt8 structure. Source: Alexandria via LeMat-Bulk, functional PBE.

magnetization	0.000	μB/atom
Fermi-level density of states	0.732	states/eV/atom
crystal system	orthorhombic
E	-7.010	eV per atom
formation energy	-0.4132	eV per atom
symmetry	Immm (71)

Cell: 7.2948 7.2948 7.2948 Å, 148.67 113.75 75.11°
Closest atoms and distances in Å follow each position.
Fractional coordinates of all 11 atoms:
Nb1 0.1630 0.1630 0.0000  10 Pt 2.69-2.88
Nb2 0.8370 0.8370 0.0000  10 Pt 2.69-2.88
Cu1 0.5000 0.5000 0.0000  12 Pt 2.76-2.85
Pt1 0.0831 0.3388 0.7442  7 Pt 2.71-2.85, 1 Cu 2.76, 3 Nb 2.77-2.88
Pt2 0.2409 0.0000 0.2409  2 Nb 2.69, 6 Pt 2.71-2.86, 2 Cu 2.85
Pt3 0.3287 0.8287 0.5000  8 Pt 2.75-2.86, 2 Nb 2.75, 2 Cu 2.79
Pt4 0.4054 0.6612 0.7442  7 Pt 2.71-2.85, 1 Cu 2.76, 3 Nb 2.77-2.88
Pt5 0.5946 0.3388 0.2558  7 Pt 2.71-2.85, 1 Cu 2.76, 3 Nb 2.77-2.88
Pt6 0.6713 0.1713 0.5000  8 Pt 2.75-2.86, 2 Nb 2.75, 2 Cu 2.79
Pt7 0.7591 0.0000 0.7591  2 Nb 2.69, 6 Pt 2.71-2.86, 2 Cu 2.85
Pt8 0.9169 0.6612 0.2558  7 Pt 2.71-2.85, 1 Cu 2.76, 3 Nb 2.77-2.88

=====

4.
A geometry-optimized Ce3Ho5S12 structure. Source: Alexandria via LeMat-Bulk, functional PBE.

magnetization	0.150	μB/atom
raw formation energy	-1.889	eV/atom
Fermi-level density of states	1.237	states/eV/atom
crystal system	cubic
E	-6.400	eV per atom
symmetry	Ia-3d (230)

Cell: 14.0564 14.0564 14.0564 Å, 109.47 109.47 109.47°
Closest atoms and distances in Å follow each position.
Fractional coordinates of all 80 atoms:
Ce1 0.1250 0.2500 0.3750  8 S 3.02-3.07
Ce2 0.1250 0.3750 0.7500  8 S 3.02-3.07
Ce3 0.2500 0.3750 0.1250  8 S 3.02-3.07
Ce4 0.2500 0.8750 0.6250  8 S 3.02-3.07
Ce5 0.3750 0.1250 0.2500  8 S 3.02-3.07
Ce6 0.3750 0.7500 0.1250  8 S 3.02-3.07
Ce7 0.6250 0.2500 0.8750  8 S 3.02-3.07
Ce8 0.6250 0.8750 0.7500  8 S 3.02-3.07
Ce9 0.7500 0.1250 0.3750  8 S 3.02-3.07
Ce10 0.7500 0.6250 0.8750  8 S 3.02-3.07
Ce11 0.8750 0.6250 0.2500  8 S 3.02-3.07
Ce12 0.8750 0.7500 0.6250  8 S 3.02-3.07
Ho1 0.0000 0.0000 0.0000  6 S 2.72
Ho2 0.0000 0.0000 0.5000  6 S 2.72
Ho3 0.0000 0.5000 0.0000  6 S 2.72
Ho4 0.0000 0.5000 0.5000  6 S 2.72
Ho5 0.1250 0.7500 0.8750  4 S 2.55
Ho6 0.1250 0.8750 0.2500  4 S 2.55
Ho7 0.2500 0.1250 0.8750  4 S 2.55
Ho8 0.2500 0.6250 0.3750  4 S 2.55
Ho9 0.3750 0.2500 0.6250  4 S 2.55
Ho10 0.3750 0.6250 0.7500  4 S 2.55
Ho11 0.5000 0.0000 0.0000  6 S 2.72
Ho12 0.5000 0.0000 0.5000  6 S 2.72
Ho13 0.5000 0.5000 0.0000  6 S 2.72
Ho14 0.5000 0.5000 0.5000  6 S 2.72
Ho15 0.6250 0.3750 0.2500  4 S 2.55
Ho16 0.6250 0.7500 0.3750  4 S 2.55
Ho17 0.7500 0.3750 0.6250  4 S 2.55
Ho18 0.7500 0.8750 0.1250  4 S 2.55
Ho19 0.8750 0.1250 0.7500  4 S 2.55
Ho20 0.8750 0.2500 0.1250  4 S 2.55
S1 0.0446 0.2192 0.1296  2 Ho 2.55-2.72
S2 0.0446 0.3255 0.9150  2 Ho 2.55-2.72
S3 0.0850 0.6296 0.4105  2 Ho 2.55-2.72
S4 0.0850 0.9554 0.6745  2 Ho 2.55-2.72
S5 0.0895 0.7192 0.6745  2 Ho 2.55-2.72
S6 0.0895 0.8704 0.4150  2 Ho 2.55-2.72
S7 0.1296 0.0446 0.2192  2 Ho 2.55-2.72
S8 0.1296 0.5850 0.9105  2 Ho 2.55-2.72
S9 0.1745 0.2192 0.5895  2 Ho 2.55-2.72
S10 0.1745 0.4554 0.5850  2 Ho 2.55-2.72
S11 0.2192 0.1296 0.0446  2 Ho 2.55-2.72
S12 0.2192 0.5895 0.1745  2 Ho 2.55-2.72
S13 0.2808 0.3255 0.9105  2 Ho 2.55-2.72
S14 0.2808 0.4554 0.3704  2 Ho 2.55-2.72
S15 0.3255 0.9105 0.2808  2 Ho 2.55-2.72
S16 0.3255 0.9150 0.0446  2 Ho 2.55-2.72
S17 0.3704 0.2808 0.4554  2 Ho 2.55-2.72
S18 0.3704 0.5895 0.9150  2 Ho 2.55-2.72
S19 0.4105 0.0850 0.6296  2 Ho 2.55-2.72
S20 0.4105 0.8255 0.7808  2 Ho 2.55-2.72
S21 0.4150 0.0895 0.8704  2 Ho 2.55-2.72
S22 0.4150 0.8255 0.5446  2 Ho 2.55-2.72
S23 0.4554 0.3704 0.2808  2 Ho 2.55-2.72
S24 0.4554 0.5850 0.1745  2 Ho 2.55-2.72
S25 0.5446 0.4150 0.8255  2 Ho 2.55-2.72
S26 0.5446 0.6296 0.7192  2 Ho 2.55-2.72
S27 0.5850 0.1745 0.4554  2 Ho 2.55-2.72
S28 0.5850 0.9105 0.1296  2 Ho 2.55-2.72
S29 0.5895 0.1745 0.2192  2 Ho 2.55-2.72
S30 0.5895 0.9150 0.3704  2 Ho 2.55-2.72
S31 0.6296 0.4105 0.0850  2 Ho 2.55-2.72
S32 0.6296 0.7192 0.5446  2 Ho 2.55-2.72
S33 0.6745 0.0850 0.9554  2 Ho 2.55-2.72
S34 0.6745 0.0895 0.7192  2 Ho 2.55-2.72
S35 0.7192 0.5446 0.6296  2 Ho 2.55-2.72
S36 0.7192 0.6745 0.0895  2 Ho 2.55-2.72
S37 0.7808 0.4105 0.8255  2 Ho 2.55-2.72
S38 0.7808 0.8704 0.9554  2 Ho 2.55-2.72
S39 0.8255 0.5446 0.4150  2 Ho 2.55-2.72
S40 0.8255 0.7808 0.4105  2 Ho 2.55-2.72
S41 0.8704 0.4150 0.0895  2 Ho 2.55-2.72
S42 0.8704 0.9554 0.7808  2 Ho 2.55-2.72
S43 0.9105 0.1296 0.5850  2 Ho 2.55-2.72
S44 0.9105 0.2808 0.3255  2 Ho 2.55-2.72
S45 0.9150 0.0446 0.3255  2 Ho 2.55-2.72
S46 0.9150 0.3704 0.5895  2 Ho 2.55-2.72
S47 0.9554 0.6745 0.0850  2 Ho 2.55-2.72
S48 0.9554 0.7808 0.8704  2 Ho 2.55-2.72

=====

5.
A geometry-optimized DyScPS structure. Source: Alexandria via LeMat-Bulk, functional PBE.

magnetization	0.000	μB/atom
raw formation energy	-1.713	eV/atom
Fermi-level density of states	0.648	states/eV/atom
crystal system	trigonal
E	-6.831	eV per atom
symmetry	R3m (160)

Cell: 3.7807 3.7807 19.8300 Å, 90.00 90.00 120.00°
Closest atoms and distances in Å follow each position.
Fractional coordinates of all 12 atoms:
Dy1 0.0000 0.0000 0.0000  3 P 2.75, 3 S 2.87
Dy2 0.3333 0.6667 0.6667  3 P 2.75, 3 S 2.87
Dy3 0.6667 0.3333 0.3333  3 P 2.75, 3 S 2.87
Sc1 0.0000 0.0000 0.1785  3 P 2.59, 3 S 2.75
Sc2 0.3333 0.6667 0.8452  3 P 2.59, 3 S 2.75
Sc3 0.6667 0.3333 0.5118  3 P 2.59, 3 S 2.75
P1 0.0000 0.0000 0.5822  3 Sc 2.59, 3 Dy 2.75
P2 0.3333 0.6667 0.2489  3 Sc 2.59, 3 Dy 2.75
P3 0.6667 0.3333 0.9155  3 Sc 2.59, 3 Dy 2.75
S1 0.0000 0.0000 0.7610  3 Sc 2.75, 3 Dy 2.87
S2 0.3333 0.6667 0.4277  3 Sc 2.75, 3 Dy 2.87
S3 0.6667 0.3333 0.0943  3 Sc 2.75, 3 Dy 2.87

=====

6.
A geometry-optimized Na2PaBe2N4 structure. Source: Alexandria via LeMat-Bulk, functional PBE.

magnetization	0.000	μB/atom
raw formation energy	-0.761	eV/atom
Fermi-level density of states	0.607	states/eV/atom
crystal system	monoclinic
E	-6.637	eV per atom
symmetry	C2/m (12)

Cell: 6.2583 6.2583 6.7397 Å, 120.11 120.11 30.75°
Closest atoms and distances in Å follow each position.
Fractional coordinates of all 9 atoms:
Na1 0.1389 0.1389 0.0735  4 N 2.51-2.70, 1 Be 2.72
Na2 0.8611 0.8611 0.9265  4 N 2.51-2.70, 1 Be 2.72
Pa1 0.0000 0.0000 0.5000  6 N 2.25-2.26
Be1 0.3208 0.3208 0.5347  2 N 1.69-1.76
Be2 0.6792 0.6792 0.4653  2 N 1.69-1.76
N1 0.2135 0.2135 0.6238  1 Be 1.69
N2 0.4905 0.4905 0.7164  1 Be 1.76
N3 0.5095 0.5095 0.2836  1 Be 1.76
N4 0.7865 0.7865 0.3762  1 Be 1.69

=====

7.
A geometry-optimized KPPtO2 structure. Source: Alexandria via LeMat-Bulk, functional PBE.

magnetization	0.122	μB/atom
raw formation energy	0.018	eV/atom
Fermi-level density of states	0.766	states/eV/atom
crystal system	tetragonal
E	-4.475	eV per atom
energy above the most stable polymorph in this dataset	0	meV per atom
symmetry	P4/mmm (123)

Cell: 4.3461 4.3461 4.4797 Å, 90.00 90.00 90.00°
Closest atoms and distances in Å follow each position.
Fractional coordinates of all 5 atoms:
K1 0.0000 0.0000 0.0000  4 P 3.07, 8 O 3.12
P1 0.5000 0.5000 0.0000  2 Pt 2.24
Pt1 0.5000 0.5000 0.5000  4 O 2.17, 2 P 2.24
O1 0.0000 0.5000 0.5000  2 Pt 2.17
O2 0.5000 0.0000 0.5000  2 Pt 2.17

=====

8.
A geometry-optimized AcSnSe4 structure. Source: Alexandria via LeMat-Bulk, functional PBE.

magnetization	0.000	μB/atom
raw formation energy	-0.829	eV/atom
Fermi-level density of states	1.232	states/eV/atom
crystal system	tetragonal
E	-4.504	eV per atom
symmetry	I4_1/amd (141)

Cell: 8.3812 8.3812 8.3812 Å, 104.36 104.36 120.27°
Closest atoms and distances in Å follow each position.
Fractional coordinates of all 12 atoms:
Ac1 0.3750 0.6250 0.7500  8 Se 3.14-3.23
Ac2 0.6250 0.3750 0.2500  8 Se 3.14-3.23
Sn1 0.1250 0.8750 0.2500  4 Se 2.58
Sn2 0.8750 0.1250 0.7500  4 Se 2.58
Se1 0.1093 0.6709 0.4384  1 Sn 2.58
Se2 0.2675 0.3291 0.9384  1 Sn 2.58
Se3 0.3291 0.2675 0.4384  1 Sn 2.58
Se4 0.3291 0.8907 0.0616  1 Sn 2.58
Se5 0.6709 0.1093 0.9384  1 Sn 2.58
Se6 0.6709 0.7325 0.5616  1 Sn 2.58
Se7 0.7325 0.6709 0.0616  1 Sn 2.58
Se8 0.8907 0.3291 0.5616  1 Sn 2.58

=====

9.
A geometry-optimized Sm4Mg3Ru structure. Source: Alexandria via LeMat-Bulk, functional PBE.

magnetization	0.000	μB/atom
Fermi-level density of states	0.869	states/eV/atom
crystal system	tetragonal
E	-4.248	eV per atom
formation energy	-0.1310	eV per atom
symmetry	P4/mmm (123)

Cell: 3.6379 3.6379 16.1065 Å, 90.00 90.00 90.00°
Closest atoms and distances in Å follow each position.
Fractional coordinates of all 8 atoms:
Sm1 0.0000 0.0000 0.1015  4 Ru 3.05, 1 Sm 3.27
Sm2 0.0000 0.0000 0.3731  8 Mg 3.29-3.32, 4 Sm 3.64
Sm3 0.0000 0.0000 0.6269  8 Mg 3.29-3.32, 4 Sm 3.64
Sm4 0.0000 0.0000 0.8985  4 Ru 3.05, 1 Sm 3.27
Mg1 0.5000 0.5000 0.2430  8 Sm 3.32-3.44, 4 Mg 3.64
Mg2 0.5000 0.5000 0.5000  8 Sm 3.29, 4 Mg 3.64
Mg3 0.5000 0.5000 0.7570  8 Sm 3.32-3.44, 4 Mg 3.64
Ru1 0.5000 0.5000 0.0000  8 Sm 3.05

=====

10.
A geometry-optimized Tb2HoTe structure. Source: Alexandria via LeMat-Bulk, functional PBE.

magnetization	0.000	μB/atom
raw formation energy	-0.559	eV/atom
Fermi-level density of states	1.189	states/eV/atom
crystal system	tetragonal
E	-4.804	eV per atom
energy above the most stable polymorph in this dataset	95	meV per atom
symmetry	P4/mmm (123)

Cell: 3.8742 3.8742 7.8586 Å, 90.00 90.00 90.00°
Closest atoms and distances in Å follow each position.
Fractional coordinates of all 4 atoms:
Tb1 0.0000 0.0000 0.2259  4 Te 3.26, 4 Ho 3.48, 1 Tb 3.55
Tb2 0.0000 0.0000 0.7741  4 Te 3.26, 4 Ho 3.48, 1 Tb 3.55
Ho1 0.5000 0.5000 0.5000  8 Tb 3.48, 4 Ho 3.87
Te1 0.5000 0.5000 0.0000  8 Tb 3.26

=====

11.
A geometry-optimized TbPr4Dy2Ho structure. Source: Alexandria via LeMat-Bulk, functional PBE.

magnetization	0.000	μB/atom
Fermi-level density of states	1.303	states/eV/atom
crystal system	orthorhombic
E	-4.675	eV per atom
formation energy	0.0162	eV per atom
symmetry	Pmmm (47)

Cell: 5.1535 5.1852 10.0970 Å, 90.00 90.00 90.00°
Closest atoms and distances in Å follow each position.
Fractional coordinates of all 8 atoms:
Tb1 0.0000 0.0000 0.0000  8 Pr 3.61-3.62, 4 Dy 3.66
Pr1 0.0000 0.5000 0.2506  2 Ho 3.60, 4 Dy 3.61, 2 Tb 3.62, 4 Pr 3.66
Pr2 0.0000 0.5000 0.7494  2 Ho 3.60, 4 Dy 3.61, 2 Tb 3.62, 4 Pr 3.66
Pr3 0.5000 0.0000 0.2506  4 Dy 3.60-3.62, 2 Tb 3.61, 2 Ho 3.61, 4 Pr 3.66
Pr4 0.5000 0.0000 0.7494  4 Dy 3.60-3.62, 2 Tb 3.61, 2 Ho 3.61, 4 Pr 3.66
Dy1 0.0000 0.0000 0.5000  8 Pr 3.60-3.61, 4 Ho 3.66
Dy2 0.5000 0.5000 0.0000  8 Pr 3.61-3.62, 4 Tb 3.66
Ho1 0.5000 0.5000 0.5000  8 Pr 3.60-3.61, 4 Dy 3.66

=====

12.
A geometry-optimized La3Pr2Te8 structure. Source: Alexandria via LeMat-Bulk, functional PBE.

magnetization	0.000	μB/atom
raw formation energy	-1.345	eV/atom
Fermi-level density of states	0.644	states/eV/atom
crystal system	monoclinic
E	-5.151	eV per atom
energy above the most stable polymorph in this dataset	0	meV per atom
symmetry	C2/m (12)

Cell: 9.1928 9.1928 7.8434 Å, 106.86 106.86 60.00°
Closest atoms and distances in Å follow each position.
Fractional coordinates of all 13 atoms:
La1 0.0000 0.0000 0.0000  6 Te 3.19-3.25
La2 0.2617 0.7383 0.5000  6 Te 3.18-3.25
La3 0.7383 0.2617 0.5000  6 Te 3.18-3.25
Pr1 0.2549 0.2549 0.8396  6 Te 3.16-3.24
Pr2 0.7451 0.7451 0.1604  6 Te 3.16-3.24
Te1 0.1186 0.6338 0.0836  2 La 3.19-3.20, 2 Pr 3.24
Te2 0.1210 0.1210 0.4266  1 Pr 3.23, 3 La 3.25
Te3 0.3662 0.8814 0.9164  2 La 3.19-3.20, 2 Pr 3.24
Te4 0.3778 0.3778 0.5963  1 Pr 3.16, 2 La 3.18
Te5 0.6222 0.6222 0.4037  1 Pr 3.16, 2 La 3.18
Te6 0.6338 0.1186 0.0836  2 La 3.19-3.20, 2 Pr 3.24
Te7 0.8790 0.8790 0.5734  1 Pr 3.23, 3 La 3.25
Te8 0.8814 0.3662 0.9164  2 La 3.19-3.20, 2 Pr 3.24